(1)
Tl3Pb: relaxed, PBEsol.

```
Tl3Pb
1.0
3.443 0.000 0.000
0.000 5.696 0.000
0.000 0.000 5.807
Tl Pb
3 1
direct
0.000 0.000 0.000
0.000 0.500 0.352
0.500 0.500 0.852
0.500 0.000 0.502
```

DOS at the Fermi energy: 1.903 states/eV per cell
Electronic total energy: -2.959 eV per atom
Energy above the most stable polymorph in this dataset: 0.353 kcal/mol of atoms
Space group: Pmm2, No. 25
Magnetization: 0.000 Bohr magnetons per cell

(2)
TlPb5: relaxed, PBEsol.

```
TlPb5
1.0
5.726 0.000 0.000
0.000 1.725 9.009
0.000 -1.725 9.009
Tl Pb
1 5
direct
0.000 0.000 0.000
0.000 0.331 0.331
0.000 0.666 0.666
0.500 0.223 0.223
0.500 0.557 0.557
0.500 0.889 0.889
```

DOS at the Fermi energy: 3.024 states/eV per cell
Electronic total energy: -3.757 eV per atom
Energy above the most stable polymorph in this dataset: 0.346 kcal/mol of atoms
Space group: Amm2, No. 38
Magnetization: 0.000 Bohr magnetons per cell

(3)
Tl6Pb7: relaxed, PBEsol.

```
Tl6Pb7
1.0
3.246 1.874 10.928
-3.246 1.874 10.928
0.000 -3.748 10.928
Tl Pb
6 7
direct
0.048 0.048 0.048
0.151 0.151 0.151
0.334 0.334 0.334
0.666 0.666 0.666
0.849 0.849 0.849
0.952 0.952 0.952
0.083 0.589 0.589
0.411 0.411 0.917
0.411 0.917 0.411
0.500 0.500 0.500
0.589 0.083 0.589
0.589 0.589 0.083
0.917 0.411 0.411
```

DOS at the Fermi energy: 5.619 states/eV per cell
Electronic total energy: -3.310 eV per atom
Space group: R-3m, No. 166
Magnetization: 0.000 Bohr magnetons per cell

(4)
Tl3Pb: relaxed, PBEsol.

```
Tl3Pb
1.0
3.441 0.000 0.000
-1.721 2.980 0.000
0.000 0.000 11.190
Tl Pb
3 1
direct
0.000 0.000 0.000
0.333 0.667 0.249
0.333 0.667 0.751
0.000 0.000 0.500
```

DOS at the Fermi energy: 2.148 states/eV per cell
Electronic total energy: -2.966 eV per atom
Energy above the most stable polymorph in this dataset: 0.202 kcal/mol of atoms
Space group: P-6m2, No. 187
Magnetization: 0.000 Bohr magnetons per cell

(5)
TlPb2: relaxed, PBEsol.

```
TlPb2
1.0
-1.753 2.388 5.232
1.753 -2.388 5.232
1.753 2.388 -5.232
Tl Pb
1 2
direct
0.000 0.000 0.000
0.332 0.332 0.000
0.668 0.668 0.000
```

DOS at the Fermi energy: 1.474 states/eV per cell
Electronic total energy: -3.547 eV per atom
Energy above the most stable polymorph in this dataset: 0.031 kcal/mol of atoms
Space group: Immm, No. 71
Magnetization: 0.000 Bohr magnetons per cell

(6)
Tl5Pb: relaxed, PBEsol.

```
Tl5Pb
1.0
5.552 0.000 0.000
0.000 1.711 8.974
0.000 -1.711 8.974
Tl Pb
5 1
direct
0.000 0.000 0.000
0.000 0.332 0.332
0.000 0.666 0.666
0.500 0.222 0.222
0.500 0.889 0.889
0.500 0.556 0.556
```

DOS at the Fermi energy: 2.594 states/eV per cell
Electronic total energy: -2.855 eV per atom
Energy above the most stable polymorph in this dataset: 0.128 kcal/mol of atoms
Space group: Amm2, No. 38
Magnetization: 0.000 Bohr magnetons per cell